No. 1
Here is a geometry-optimized Zr3CrPb structure from the Alexandria database. Energies are from PBEsol.

## Properties
**Energy**: -7.9551 eV per atom
**Crystal system**: cubic
**DOS(E_F)**: 1.55 states/eV/atom
**Formation energy**: 347 meV per atom
**Excess energy over the best structure of this formula in the dataset**: 0 meV per atom

```
data_Zr3CrPb
_chemical_formula_sum 'Zr3 Cr1 Pb1'
_symmetry_space_group_name_H-M 'P m -3 m'
_symmetry_Int_Tables_number 221
_symmetry_space_group_name_Hall '-P 4 2 3'
_cell_length_a 4.792
_cell_length_b 4.792
_cell_length_c 4.792
_cell_angle_alpha 90.00
_cell_angle_beta 90.00
_cell_angle_gamma 90.00
loop_
_atom_site_label
_atom_site_fract_x
_atom_site_fract_y
_atom_site_fract_z
Zr1 0.000 0.000 0.500
Cr1 0.000 0.000 0.000
Pb1 0.500 0.500 0.500
```


No. 2
Here is a geometry-optimized CrPd3 structure from the Alexandria database. Energies are from PBEsol.

## Properties
**Energy**: -7.0849 eV per atom
**Crystal system**: cubic
**DOS(E_F)**: 1.43 states/eV/atom
**Formation energy**: -55 meV per atom

```
data_CrPd3
_chemical_formula_sum 'Cr1 Pd3'
_symmetry_space_group_name_H-M 'P m -3 m'
_symmetry_Int_Tables_number 221
_symmetry_space_group_name_Hall '-P 4 2 3'
_cell_length_a 3.830
_cell_length_b 3.830
_cell_length_c 3.830
_cell_angle_alpha 90.00
_cell_angle_beta 90.00
_cell_angle_gamma 90.00
loop_
_atom_site_label
_atom_site_fract_x
_atom_site_fract_y
_atom_site_fract_z
Cr1 0.000 0.000 0.000
Pd1 0.000 0.500 0.500
```